[1]
Computed, not measured: NiCCl3 at its PBEsol-relaxed geometry at the meta-GGA SCAN level of DFT.

Summary:
As for the space-group type: Pm-3m, No. 221. The value obtained for the formation energy (no corrections) is 6.11 eV per formula unit. The value obtained for the total energy is -8.819 eV per atom. The value obtained for the magnetic moment is 1.01 μB per formula unit. Its density is 3.80 Mg/m³. The volume is 15.48 Å³ per atom. The density of states at the Fermi level comes out at 7.93 states/eV/cell. Its distance to the lowest polymorph of the same formula is 183 meV per atom.

```
NiCCl3
1.0
4.2615 0.0000 0.0000
0.0000 4.2615 0.0000
0.0000 0.0000 4.2615
Ni C Cl
1 1 3
Direct
0.0000 0.0000 0.0000
0.5000 0.5000 0.5000
0.0000 0.5000 0.5000
0.5000 0.0000 0.5000
0.5000 0.5000 0.0000
```

---

[2]
Computed, not measured: NiCCl3 at its PBEsol-relaxed geometry at the meta-GGA SCAN level of DFT.

Summary:
As for the space-group type: Pm-3m, No. 221. The value obtained for the formation energy (no corrections) is 5.20 eV per formula unit. The value obtained for the total energy is -9.002 eV per atom. The value obtained for the magnetic moment is 0.49 μB per formula unit. Its density is 3.30 Mg/m³. The volume is 17.84 Å³ per atom. The density of states at the Fermi level comes out at 3.24 states/eV/cell. Its distance to the lowest polymorph of the same formula is 0 meV per atom.

```
NiCCl3
1.0
4.4679 0.0000 0.0000
0.0000 4.4679 0.0000
0.0000 0.0000 4.4679
Ni C Cl
1 1 3
Direct
0.0000 0.0000 0.0000
0.5000 0.5000 0.5000
0.0000 0.0000 0.5000
0.0000 0.5000 0.0000
0.5000 0.0000 0.0000
```

---

[3]
Computed, not measured: NiP2CCl at its PBEsol-relaxed geometry at the meta-GGA SCAN level of DFT.

Summary:
As for the space-group type: P4/mmm, No. 123. The value obtained for the formation energy (no corrections) is 7.50 eV per formula unit. The value obtained for the total energy is -9.510 eV per atom. The value obtained for the magnetic moment is 0.00 μB per formula unit. Its density is 4.32 Mg/m³. The volume is 12.93 Å³ per atom. The density of states at the Fermi level comes out at 3.14 states/eV/cell.

```
NiP2CCl
1.0
3.9198 0.0000 0.0000
0.0000 3.9198 0.0000
0.0000 0.0000 4.2089
Ni P C Cl
1 2 1 1
Direct
0.0000 0.0000 0.0000
0.0000 0.5000 0.5000
0.5000 0.0000 0.5000
0.5000 0.5000 0.5000
0.5000 0.5000 0.0000
```

---

[4]
Computed, not measured: NiPtCCl2 at its PBEsol-relaxed geometry at the meta-GGA SCAN level of DFT.

Summary:
As for the space-group type: P4/mmm, No. 123. The value obtained for the formation energy (no corrections) is 5.78 eV per formula unit. The value obtained for the total energy is -21.329 eV per atom. The value obtained for the magnetic moment is 0.79 μB per formula unit. Its density is 7.32 Mg/m³. The volume is 15.28 Å³ per atom. The density of states at the Fermi level comes out at 2.95 states/eV/cell.

```
NiPtCCl2
1.0
4.6903 0.0000 0.0000
0.0000 4.6903 0.0000
0.0000 0.0000 3.4725
Ni Pt C Cl
1 1 1 2
Direct
0.0000 0.0000 0.0000
0.5000 0.5000 0.5000
0.0000 0.0000 0.5000
0.0000 0.5000 0.0000
0.5000 0.0000 0.0000
```

---

[5]
Computed, not measured: NiSnCCl2 at its PBEsol-relaxed geometry at the meta-GGA SCAN level of DFT.

Summary:
As for the space-group type: P4/mmm, No. 123. The value obtained for the formation energy (no corrections) is 7.10 eV per formula unit. The value obtained for the total energy is -14.210 eV per atom. The value obtained for the magnetic moment is 0.36 μB per formula unit. Its density is 3.24 Mg/m³. The volume is 26.70 Å³ per atom. The density of states at the Fermi level comes out at 2.61 states/eV/cell.

```
NiSnCCl2
1.0
5.1838 0.0000 0.0000
0.0000 5.1838 0.0000
0.0000 0.0000 4.9676
Ni Sn C Cl
1 1 1 2
Direct
0.0000 0.0000 0.0000
0.0000 0.0000 0.5000
0.5000 0.5000 0.0000
0.0000 0.5000 0.5000
0.5000 0.0000 0.5000
```

---

[6]
Computed, not measured: Pb2CCl2O3 at its PBEsol-relaxed geometry at the meta-GGA SCAN level of DFT.

Summary:
As for the space-group type: P4/mbm, No. 127. The value obtained for the formation energy (no corrections) is -11.13 eV per formula unit. The value obtained for the total energy is -25.930 eV per atom. The value obtained for the magnetic moment is 0.00 μB per formula unit. Its density is 6.28 Mg/m³. The volume is 18.02 Å³ per atom. The density of states at the Fermi level comes out at 0.00 states/eV/cell. Its distance to the lowest polymorph of the same formula is 0 meV per atom.

```
Pb2CCl2O3
1.0
8.0675 0.0000 0.0000
0.0000 8.0675 0.0000
0.0000 0.0000 8.8594
Pb C Cl O
8 4 8 12
Direct
0.1653 0.3347 0.2380
0.1653 0.3347 0.7620
0.3347 0.8347 0.2380
0.3347 0.8347 0.7620
0.6653 0.1653 0.2380
0.6653 0.1653 0.7620
0.8347 0.6653 0.2380
0.8347 0.6653 0.7620
0.1788 0.6788 0.5000
0.3212 0.1788 0.5000
0.6788 0.8212 0.5000
0.8212 0.3212 0.5000
0.0000 0.0000 0.2517
0.0000 0.0000 0.7483
0.1464 0.6464 0.0000
0.3536 0.1464 0.0000
0.5000 0.5000 0.2517
0.5000 0.5000 0.7483
0.6464 0.8536 0.0000
0.8536 0.3536 0.0000
0.1278 0.6278 0.3701
0.1278 0.6278 0.6299
0.2066 0.2934 0.5000
0.2934 0.7934 0.5000
0.3722 0.1278 0.3701
0.3722 0.1278 0.6299
0.6278 0.8722 0.3701
0.6278 0.8722 0.6299
0.7066 0.2066 0.5000
0.7934 0.7066 0.5000
0.8722 0.3722 0.3701
0.8722 0.3722 0.6299
```

---

[7]
Computed, not measured: Pb2CCl2O3 at its PBEsol-relaxed geometry at the meta-GGA SCAN level of DFT.

Summary:
As for the space-group type: P1, No. 1. The value obtained for the formation energy (no corrections) is -10.77 eV per formula unit. The value obtained for the total energy is -25.885 eV per atom. The value obtained for the magnetic moment is 0.00 μB per formula unit. Its density is 5.78 Mg/m³. The volume is 19.57 Å³ per atom. The density of states at the Fermi level comes out at 0.00 states/eV/cell. Its distance to the lowest polymorph of the same formula is 45 meV per atom.

```
Pb2CCl2O3
1.0
8.1921 0.0000 0.0000
0.3895 8.7273 0.0000
0.2127 0.5609 8.7600
Pb C Cl O
8 4 8 12
Direct
0.0000 0.0000 0.0000
0.0065 0.4795 0.9995
0.0883 0.9968 0.4910
0.1255 0.4752 0.5034
0.4895 0.9001 0.7487
0.5237 0.3422 0.7790
0.5877 0.8209 0.2392
0.6109 0.3447 0.2782
0.1158 0.7243 0.7821
0.4670 0.6274 0.5133
0.6498 0.6112 0.9886
0.9952 0.7243 0.2904
0.1633 0.2195 0.7690
0.2716 0.9510 0.1889
0.3486 0.4229 0.0484
0.4405 0.1349 0.4892
0.6459 0.1081 0.0282
0.7802 0.4129 0.5445
0.8173 0.9725 0.6932
0.9554 0.2271 0.2490
0.0357 0.5948 0.2366
0.0418 0.7417 0.4298
0.0722 0.5981 0.7309
0.0778 0.7441 0.9249
0.1958 0.8268 0.7023
0.3972 0.5467 0.6229
0.4596 0.5879 0.3735
0.5383 0.7525 0.5377
0.5592 0.7365 0.9752
0.6889 0.5304 0.8757
0.7100 0.5738 0.1234
0.9091 0.8331 0.2201
```

---

[8]
Computed, not measured: OsC2Cl2 at its PBEsol-relaxed geometry at the meta-GGA SCAN level of DFT.

Summary:
As for the space-group type: I4/mmm, No. 139. The value obtained for the formation energy (no corrections) is 7.96 eV per formula unit. The value obtained for the total energy is -20.016 eV per atom. The value obtained for the magnetic moment is 1.22 μB per formula unit. Its density is 5.46 Mg/m³. The volume is 17.33 Å³ per atom. The density of states at the Fermi level comes out at 1.86 states/eV/cell.

```
OsC2Cl2
1.0
-2.9080 2.9080 2.5620
2.9080 -2.9080 2.5620
2.9080 2.9080 -2.5620
Os C Cl
1 2 2
Direct
0.0000 0.0000 0.0000
0.3729 0.3729 0.0000
0.6271 0.6271 0.0000
0.2500 0.7500 0.5000
0.7500 0.2500 0.5000
```

---

[9]
Computed, not measured: OsC2Cl at its PBEsol-relaxed geometry at the meta-GGA SCAN level of DFT.

Summary:
As for the space-group type: Fd-3m, No. 227. The value obtained for the formation energy (no corrections) is 5.35 eV per formula unit. The value obtained for the total energy is -23.677 eV per atom. The value obtained for the magnetic moment is 0.00 μB per formula unit. Its density is 5.35 Mg/m³. The volume is 19.36 Å³ per atom. The density of states at the Fermi level comes out at 6.18 states/eV/cell. Its distance to the lowest polymorph of the same formula is 0 meV per atom.

```
OsC2Cl
1.0
0.0000 4.2626 4.2626
4.2626 0.0000 4.2626
4.2626 4.2626 0.0000
Os C Cl
2 4 2
Direct
0.1250 0.1250 0.1250
0.8750 0.8750 0.8750
0.0000 0.0000 0.0000
0.0000 0.0000 0.5000
0.0000 0.5000 0.0000
0.5000 0.0000 0.0000
0.3750 0.3750 0.3750
0.6250 0.6250 0.6250
```

---

[10]
Computed, not measured: OsC2Cl at its PBEsol-relaxed geometry at the meta-GGA SCAN level of DFT.

Summary:
As for the space-group type: Fm-3m, No. 225. The value obtained for the formation energy (no corrections) is 12.55 eV per formula unit. The value obtained for the total energy is -21.877 eV per atom. The value obtained for the magnetic moment is 0.00 μB per formula unit. Its density is 10.26 Mg/m³. The volume is 10.10 Å³ per atom. The density of states at the Fermi level comes out at 2.82 states/eV/cell. Its distance to the lowest polymorph of the same formula is 1800 meV per atom.

```
OsC2Cl
1.0
0.0000 2.7236 2.7236
2.7236 0.0000 2.7236
2.7236 2.7236 0.0000
Os C Cl
1 2 1
Direct
0.0000 0.0000 0.0000
0.2500 0.2500 0.2500
0.7500 0.7500 0.7500
0.5000 0.5000 0.5000
```

---

[11]
Computed, not measured: OsCSeCl2 at its PBEsol-relaxed geometry at the meta-GGA SCAN level of DFT.

Summary:
As for the space-group type: P4/mmm, No. 123. The value obtained for the formation energy (no corrections) is 11.62 eV per formula unit. The value obtained for the total energy is -21.280 eV per atom. The value obtained for the magnetic moment is 3.34 μB per formula unit. Its density is 5.12 Mg/m³. The volume is 22.86 Å³ per atom. The density of states at the Fermi level comes out at 3.03 states/eV/cell.

```
OsCSeCl2
1.0
4.9796 0.0000 0.0000
0.0000 4.9796 0.0000
0.0000 0.0000 4.6091
Os C Se Cl
1 1 1 2
Direct
0.0000 0.0000 0.0000
0.5000 0.5000 0.0000
0.0000 0.0000 0.5000
0.0000 0.5000 0.5000
0.5000 0.0000 0.5000
```

---

[12]
Computed, not measured: TcOs2CCl at its PBEsol-relaxed geometry at the meta-GGA SCAN level of DFT.

Summary:
As for the space-group type: P4/mmm, No. 123. The value obtained for the formation energy (no corrections) is 7.39 eV per formula unit. The value obtained for the total energy is -37.901 eV per atom. The value obtained for the magnetic moment is 1.81 μB per formula unit. Its density is 12.07 Mg/m³. The volume is 14.47 Å³ per atom. The density of states at the Fermi level comes out at 3.92 states/eV/cell.

```
TcOs2CCl
1.0
3.8674 0.0000 0.0000
0.0000 3.8674 0.0000
0.0000 0.0000 4.8358
Tc Os C Cl
1 2 1 1
Direct
0.0000 0.0000 0.0000
0.0000 0.5000 0.5000
0.5000 0.0000 0.5000
0.5000 0.5000 0.5000
0.5000 0.5000 0.0000
```